Entry 1:
The following is a DFT calculation (GGA-PBE) of MgRu2Pt after structural relaxation.

Geometry as POSCAR:
```
MgRu2Pt
1.0
-3.7457 -0.9061 -2.7597
-3.2980 -3.1706 -1.2399
-3.5066 1.3514 3.0466
Ru Mg Pt
2 1 1
Cartesian
-7.9870 -1.9638 -0.5732
-3.3820 1.2968 2.9287
-5.2098 -1.4078 -0.5630
-2.7533 -0.6620 -0.1753
```

Values from the calculation:
For the formation energy, the calculation gives -0.105 eV/atom.

***

Entry 2:
The following is a DFT calculation (GGA-PBE) of Mg2RuPt9 after structural relaxation.

Geometry as POSCAR:
```
Mg2RuPt9
1.0
-2.4640 -0.0697 3.0778
-2.8924 -1.2975 -2.3450
3.1865 -11.2538 2.2961
Pt Mg Ru
9 2 1
Cartesian
-0.5530 -8.1890 1.8977
1.2176 -10.0563 0.7470
-0.7092 -1.8811 1.9156
-0.9235 -2.4949 -0.7958
0.3613 -5.6618 2.6869
0.1471 -6.2756 -0.0244
1.4318 -9.4425 3.4583
-1.6168 -4.4319 1.1312
-2.6782 -0.6836 0.3664
1.0690 -3.7753 0.7703
2.1176 -7.4785 1.5259
0.0000 0.0000 0.0000
```

Values from the calculation:
For the formation energy, the calculation gives -0.393 eV/atom.

***

Entry 3:
The following is a DFT calculation (GGA-PBE) of MgRu2Pt after structural relaxation.

Geometry as POSCAR:
```
MgRu2Pt
1.0
3.8054 0.0000 0.0000
0.0000 2.7949 0.0054
0.0000 2.7878 5.6628
Ru Pt Mg
2 1 1
Cartesian
1.9027 1.3939 1.2660
0.0000 2.7936 0.1579
1.9027 4.1888 4.1901
0.0000 2.7927 2.8935
```

Values from the calculation:
For the formation energy, the calculation gives -0.143 eV/atom.

***

Entry 4:
The following is a DFT calculation (GGA-PBE) of MgRu2Pt after structural relaxation.

Geometry as POSCAR:
```
MgRu2Pt
1.0
9.2257 0.0110 0.0065
8.8068 2.7485 0.0065
8.8068 1.3477 2.3954
Ru Pt Mg
2 1 1
Cartesian
0.0222 0.0034 0.0020
13.3975 2.0502 1.2022
20.1295 3.0804 1.8062
6.7098 1.0268 0.6021
```

Values from the calculation:
For the formation energy, the calculation gives 0.134 eV/atom.

***

Entry 5:
The following is a DFT calculation (GGA-PBE) of MgRu2Pt after structural relaxation.

Geometry as POSCAR:
```
MgRu2Pt
1.0
-4.5947 -0.9921 -1.2453
-0.2691 -3.1042 -3.7333
2.4119 -0.0343 4.2223
Ru Mg Pt
2 1 1
Cartesian
-2.4319 -2.0482 -2.4893
0.0000 0.0000 0.0000
-0.1446 -2.5933 -1.0001
-2.3074 -1.5373 0.2439
```

Values from the calculation:
For the formation energy, the calculation gives -0.040 eV/atom.

***

Entry 6:
The following is a DFT calculation (GGA-PBE) of MgRu2Pt after structural relaxation.

Geometry as POSCAR:
```
MgRu2Pt
1.0
-4.9162 0.2973 -2.9128
-0.5815 -0.7086 -5.6481
1.4916 -1.8956 5.1888
Ru Mg Pt
2 1 1
Cartesian
-0.1551 -0.0116 -0.2416
-2.5937 -0.1940 -4.0389
-3.0867 -0.9019 -1.0023
-0.9194 -1.4049 -2.3699
```

Values from the calculation:
For the formation energy, the calculation gives 0.005 eV/atom.

***

Entry 7:
The following is a DFT calculation (GGA-PBE) of Mg8RuPt2 after structural relaxation.

Geometry as POSCAR:
```
Mg8RuPt2
1.0
4.2222 0.0000 -1.2850
-1.1048 6.3916 -3.6301
-0.0317 -0.0824 7.4748
Mg Pt Ru
8 2 1
Cartesian
3.4283 4.3271 3.6854
2.6543 5.4297 1.1422
0.8165 3.5419 2.6830
1.2963 0.7663 4.2594
-0.3426 1.9821 -1.1257
2.2691 2.7674 -0.1233
0.4314 0.8795 1.4175
1.7894 5.5430 -1.6997
3.0290 1.8715 2.3734
0.0567 4.4378 0.1863
2.1111 0.0000 -0.6425
```

Values from the calculation:
For the formation energy, the calculation gives -0.420 eV/atom.

***

Entry 8:
The following is a DFT calculation (GGA-PBE) of MgRu2Pt after structural relaxation.

Geometry as POSCAR:
```
MgRu2Pt
1.0
-3.0859 0.6559 0.3877
-0.6709 -1.5728 -2.6795
-0.6817 -5.0663 3.1446
Mg Ru Pt
1 2 1
Cartesian
-2.0488 -1.7251 -0.3597
-0.3467 -2.5764 1.5992
-0.6759 -5.0231 3.1178
-2.3897 -4.2582 1.2126
```

Values from the calculation:
For the formation energy, the calculation gives 0.178 eV/atom.

***

Entry 9:
The following is a DFT calculation (GGA-PBE) of MgRu2Pt after structural relaxation.

Geometry as POSCAR:
```
MgRu2Pt
1.0
-2.3633 1.4396 0.6066
-1.0816 -3.0937 3.1280
2.3367 2.4673 3.2483
Mg Ru Pt
1 2 1
Cartesian
-0.0133 1.9535 1.9274
0.0000 0.0000 0.0000
-1.7225 -0.8271 1.8673
0.6275 -0.3132 3.1881
```

Values from the calculation:
For the formation energy, the calculation gives 0.015 eV/atom.

***

Entry 10:
The following is a DFT calculation (GGA-PBE) of MgRu2Pt after structural relaxation.

Geometry as POSCAR:
```
MgRu2Pt
1.0
2.7620 0.0000 0.0000
0.0000 2.7620 0.0000
0.0000 0.0000 7.9668
Mg Ru Pt
1 2 1
Cartesian
1.3810 1.3810 1.9917
0.0000 0.0000 7.8917
0.0000 0.0000 4.0585
1.3810 1.3810 5.9751
```

Values from the calculation:
For the formation energy, the calculation gives 0.119 eV/atom.

***

Entry 11:
The following is a DFT calculation (GGA-PBE) of Mg2Ru2Pt after structural relaxation.

Geometry as POSCAR:
```
Mg2Ru2Pt
1.0
-3.6900 5.2895 1.0162
-5.3093 -3.3646 -1.7657
-0.5692 -1.1452 3.8939
Mg Ru Pt
4 4 2
Cartesian
-7.1529 0.2365 1.1808
-2.4157 0.5432 1.9636
-4.5292 -1.9148 0.9317
-5.0393 2.6945 2.2127
-2.4548 -0.6144 -0.5396
-2.9555 2.8823 0.4156
-6.5445 2.5392 -0.2099
-6.0438 -0.9574 -1.1651
0.0000 0.0000 0.0000
-4.4997 0.9624 -0.3748
```

Values from the calculation:
For the formation energy, the calculation gives 0.058 eV/atom.

***

Entry 12:
The following is a DFT calculation (GGA-PBE) of MgRu2Pt after structural relaxation.

Geometry as POSCAR:
```
MgRu2Pt
1.0
3.7583 0.0000 0.0000
0.0000 3.7583 0.0000
0.0000 0.0000 4.2212
Ru Pt Mg
2 1 1
Cartesian
1.8792 1.8792 0.0000
0.0000 0.0000 0.0000
0.0000 1.8792 2.1106
1.8792 0.0000 2.1106
```

Values from the calculation:
For the formation energy, the calculation gives -0.037 eV/atom.

***

Entry 13:
The following is a DFT calculation (GGA-PBE) of MgRu2Pt after structural relaxation.

Geometry as POSCAR:
```
MgRu2Pt
1.0
4.4012 0.0000 0.0000
2.2006 3.8115 0.0000
2.2006 1.2705 3.5935
Ru Pt Mg
2 1 1
Cartesian
2.2006 1.2705 0.8984
0.0000 0.0000 0.0000
6.6017 3.8115 2.6952
4.4012 2.5410 1.7968
```

Values from the calculation:
For the formation energy, the calculation gives 0.082 eV/atom.

***

Entry 14:
The following is a DFT calculation (GGA-PBE) of Mg4RuPt after structural relaxation.

Geometry as POSCAR:
```
Mg4RuPt
1.0
0.0000 3.7296 3.7296
3.7296 0.0000 3.7296
3.7296 3.7296 0.0000
Mg Pt Ru
4 1 1
Cartesian
2.7967 4.6625 4.6625
4.6625 2.7967 4.6625
4.6625 4.6625 2.7967
2.7967 2.7967 2.7967
5.5944 5.5944 5.5944
0.0000 0.0000 0.0000
```

Values from the calculation:
For the formation energy, the calculation gives 0.270 eV/atom.

***

Entry 15:
The following is a DFT calculation (GGA-PBE) of MgRu2Pt after structural relaxation.

Geometry as POSCAR:
```
MgRu2Pt
1.0
-1.9786 -3.8319 -2.2436
0.1205 -2.9663 -3.8495
2.7205 -3.3789 1.7348
Ru Pt Mg
2 1 1
Cartesian
-1.8341 -6.7580 -6.0399
0.4071 -5.1288 -2.2323
0.2156 -2.5443 -1.0896
0.6468 -7.6329 -3.2687
```

Values from the calculation:
For the formation energy, the calculation gives -0.059 eV/atom.

***

Entry 16:
The following is a DFT calculation (GGA-PBE) of MgRu3Pt after structural relaxation.

Geometry as POSCAR:
```
MgRu3Pt
1.0
-2.7657 0.1852 3.9201
-3.1695 -2.9334 -2.0975
2.3143 -3.7962 1.8121
Ru Pt Mg
3 1 1
Cartesian
1.1571 -1.8981 0.9060
-1.3828 0.0926 1.9601
-1.5848 -1.4667 -1.0488
0.0000 0.0000 0.0000
-1.8105 -3.2722 1.8173
```

Values from the calculation:
The value obtained for the distance to the lowest polymorph of the same formula is 0.00 eV per formula unit. For the formation energy, the calculation gives 1.587 eV/atom.

***

Entry 17:
The following is a DFT calculation (GGA-PBE) of MgRu2Pt after structural relaxation.

Geometry as POSCAR:
```
MgRu2Pt
1.0
7.5918 0.0000 0.0000
0.0000 7.5918 0.0000
3.7959 3.7959 2.4606
Ru Mg Pt
4 2 2
Cartesian
5.6939 5.3253 1.8454
6.0624 1.8980 0.6151
9.4898 9.8583 1.8454
1.5294 5.6939 0.6151
3.7959 7.5918 1.2303
3.7959 3.7959 0.0000
7.5918 3.7959 1.2303
0.0000 0.0000 0.0000
```

Values from the calculation:
For the formation energy, the calculation gives 0.518 eV/atom.

***

Entry 18:
The following is a DFT calculation (GGA-PBE) of MgRu2Pt after structural relaxation.

Geometry as POSCAR:
```
MgRu2Pt
1.0
4.7395 -0.0012 0.0025
1.4787 4.5029 -0.0025
-3.1122 -2.2466 2.7803
Ru Mg Pt
2 1 1
Cartesian
0.0005 0.0004 0.0000
2.3674 0.0010 1.3914
3.1092 2.2510 0.0000
0.7379 2.2537 1.3889
```

Values from the calculation:
For the formation energy, the calculation gives -0.082 eV/atom.

***

Entry 19:
The following is a DFT calculation (GGA-PBE) of Mg2RuPt2 after structural relaxation.

Geometry as POSCAR:
```
Mg2RuPt2
1.0
6.7203 0.0000 0.0000
0.0000 6.7203 0.0000
0.0000 0.0000 3.8671
Pt Ru Mg
4 2 4
Cartesian
2.4438 5.8039 0.0000
5.8039 4.2765 0.0000
0.9164 2.4438 0.0000
4.2765 0.9164 0.0000
3.3602 3.3602 0.0000
0.0000 0.0000 0.0000
5.5819 2.2218 1.9335
2.2218 1.1384 1.9335
4.4986 5.5819 1.9335
1.1384 4.4986 1.9335
```

Values from the calculation:
For the formation energy, the calculation gives -0.288 eV/atom.

***

Entry 20:
The following is a DFT calculation (GGA-PBE) of MgRu2Pt after structural relaxation.

Geometry as POSCAR:
```
MgRu2Pt
1.0
2.8019 0.0000 0.0000
0.0000 2.8019 0.0000
0.0000 0.0000 7.6898
Pt Ru Mg
1 2 1
Cartesian
1.4010 1.4010 5.7962
1.4010 1.4010 1.7741
0.0000 0.0000 0.1221
0.0000 0.0000 3.8422
```

Values from the calculation:
For the formation energy, the calculation gives -0.174 eV/atom.

***

Entry 21:
The following is a DFT calculation (GGA-PBE) of MgRu2Pt after structural relaxation.

Geometry as POSCAR:
```
MgRu2Pt
1.0
-0.2330 -1.1579 -4.7405
0.3191 -3.8744 2.9589
-2.7239 -0.1029 0.1590
Mg Pt Ru
1 1 2
Cartesian
-1.4784 -0.6304 -2.2908
-1.2024 -1.9886 1.5590
0.0000 0.0000 0.0000
0.0431 -2.5161 -0.8908
```

Values from the calculation:
For the formation energy, the calculation gives 0.025 eV/atom.

***

Entry 22:
The following is a DFT calculation (GGA-PBE) of MgRuPt2Se after structural relaxation.

Geometry as POSCAR:
```
MgRuPt2Se
1.0
4.6215 0.0000 0.0000
0.0000 4.7025 0.0000
0.0000 0.0000 4.6215
Pt Mg Se Ru
2 1 1 1
Cartesian
2.3108 0.0000 0.0000
0.0000 0.0000 2.3108
0.0000 0.0000 0.0000
2.3108 2.3513 2.3108
0.0000 2.3513 0.0000
```

Values from the calculation:
For the uncorrected formation energy, the calculation gives 590 kJ/mol of formula units.

***

Entry 23:
The following is a DFT calculation (GGA-PBE) of MgSiRuPt after structural relaxation.

Geometry as POSCAR:
```
MgSiRuPt
1.0
-2.9927 2.2895 -2.0389
-1.7383 -1.4889 -3.6218
-4.0698 -1.3384 -0.0305
Si Mg Ru Pt
1 1 1 1
Cartesian
-4.4004 -0.2689 -2.8456
0.0000 0.0000 0.0000
-2.2002 -0.1345 -1.4228
-6.6006 -0.4034 -4.2684
```

Values from the calculation:
For the uncorrected formation energy, the calculation gives -216 kJ/mol of formula units.

***

Entry 24:
The following is a DFT calculation (GGA-PBE) of MgSnRuPt after structural relaxation.

Geometry as POSCAR:
```
MgSnRuPt
1.0
4.5206 0.0000 0.0000
2.2603 3.9149 0.0000
2.2603 1.3050 3.6910
Ru Mg Sn Pt
1 1 1 1
Cartesian
0.0000 0.0000 0.0000
2.2603 1.3050 0.9228
6.7809 3.9149 2.7683
4.5206 2.6100 1.8455
```

Values from the calculation:
The value obtained for the distance to the lowest polymorph of the same formula is 0.11 eV per formula unit. For the formation energy, the calculation gives -0.419 eV/atom.

***

Entry 25:
The following is a DFT calculation (GGA-PBE) of Mg3Sn3Ru2Pt after structural relaxation.

Geometry as POSCAR:
```
Mg3Sn3Ru2Pt
1.0
-1.8190 -2.0101 -1.9357
2.5659 -5.9692 3.7874
-6.2661 3.4844 2.2701
Ru Pt Mg Sn
2 1 3 3
Cartesian
-1.2876 -3.8230 2.3138
-4.2316 -0.6718 1.8081
0.0000 0.0000 0.0000
-5.4588 1.5247 0.6803
-1.9233 -1.6858 0.6918
0.9534 -5.3388 1.7819
-2.2795 -1.5307 3.7316
-2.4060 1.3379 0.8717
0.9852 -2.2920 1.4542
```

Values from the calculation:
For the formation energy, the calculation gives -0.320 eV/atom.

***

Entry 26:
The following is a DFT calculation (GGA-PBE) of MgSnRuPt after structural relaxation.

Geometry as POSCAR:
```
MgSnRuPt
1.0
-0.3788 3.4135 0.2061
-3.6824 -0.2761 -2.1970
-2.2375 -0.4784 3.8104
Ru Mg Sn Pt
1 1 1 1
Cartesian
-2.9599 -0.3772 0.8067
-2.0306 1.5687 -0.9954
-1.3082 1.4676 2.0082
0.0000 0.0000 0.0000
```

Values from the calculation:
The value obtained for the distance to the lowest polymorph of the same formula is 0.00 eV per formula unit. For the formation energy, the calculation gives -0.447 eV/atom.

***

Entry 27:
The following is a DFT calculation (GGA-PBE) of TbMgRuPt after structural relaxation.

Geometry as POSCAR:
```
TbMgRuPt
1.0
-2.5803 1.2725 3.6950
-0.2141 -2.7680 3.7713
2.0938 1.3013 3.9815
Pt Tb Mg Ru
1 1 1 1
Cartesian
-0.5255 -0.1456 8.5858
-0.3503 -0.0971 5.7239
0.0000 0.0000 0.0000
-0.1752 -0.0485 2.8619
```

Values from the calculation:
For the formation energy, the calculation gives -0.555 eV/atom.

***

Entry 28:
The following is a DFT calculation (GGA-PBE) of ThMgRuPt after structural relaxation.

Geometry as POSCAR:
```
ThMgRuPt
1.0
4.8227 0.0000 0.0000
2.4113 4.1766 0.0000
2.4113 1.3922 3.9377
Pt Th Mg Ru
1 1 1 1
Cartesian
4.8227 2.7844 1.9688
2.4113 1.3922 0.9844
7.2340 4.1766 2.9533
0.0000 0.0000 0.0000
```

Values from the calculation:
For the formation energy, the calculation gives -0.578 eV/atom.